(1)
The following is a PBE-GGA calculation of a relaxed SeCl crystal, from the Alexandria database.

Properties
* formation energy (no corrections): 0.106 eV per atom
* total moment: 0.000 μB per cell

CIF file:
```
data_SeCl
_chemical_formula_sum 'Se4 Cl4'
_symmetry_space_group_name_H-M 'C m m e'
_symmetry_Int_Tables_number 67
_symmetry_space_group_name_Hall '-C 2a 2'
_cell_length_a 3.833
_cell_length_b 9.100
_cell_length_c 7.664
_cell_angle_alpha 90.00
_cell_angle_beta 90.00
_cell_angle_gamma 90.00
loop_
_atom_site_label
_atom_site_fract_x
_atom_site_fract_y
_atom_site_fract_z
Se1 0.000 0.250 0.105
Cl1 0.000 0.250 0.658
```



(2)
The following is a PBE-GGA calculation of a relaxed SeCl crystal, from the Alexandria database.

Properties
* formation energy (no corrections): -0.067 eV per atom
* total moment: 0.000 μB per cell

CIF file:
```
data_SeCl
_chemical_formula_sum 'Se4 Cl4'
_symmetry_space_group_name_H-M 'C 1 2/m 1'
_symmetry_Int_Tables_number 12
_cell_length_a 9.243
_cell_length_b 5.031
_cell_length_c 7.356
_cell_angle_alpha 90.00
_cell_angle_beta 113.98
_cell_angle_gamma 90.00
loop_
_symmetry_equiv_pos_as_xyz
'x,y,z'
'-x,-y,-z'
'-x,y,-z'
'x,-y,z'
'x+1/2,y+1/2,z'
'-x+1/2,-y+1/2,-z'
'-x+1/2,y+1/2,-z'
'x+1/2,-y+1/2,z'
loop_
_atom_site_label
_atom_site_fract_x
_atom_site_fract_y
_atom_site_fract_z
Se1 0.205 0.000 0.469
Cl1 0.233 0.500 0.788
```



(3)
The following is a PBE-GGA calculation of a relaxed SeCl3 crystal, from the Alexandria database.

Properties
* formation energy (no corrections): 0.177 eV per atom
* total moment: 0.000 μB per cell

CIF file:
```
data_SeCl3
_chemical_formula_sum 'Se2 Cl6'
_symmetry_space_group_name_H-M 'C 1 2/m 1'
_symmetry_Int_Tables_number 12
_cell_length_a 6.872
_cell_length_b 5.679
_cell_length_c 8.009
_cell_angle_alpha 90.00
_cell_angle_beta 115.14
_cell_angle_gamma 90.00
loop_
_symmetry_equiv_pos_as_xyz
'x,y,z'
'-x,-y,-z'
'-x,y,-z'
'x,-y,z'
'x+1/2,y+1/2,z'
'-x+1/2,-y+1/2,-z'
'-x+1/2,y+1/2,-z'
'x+1/2,-y+1/2,z'
loop_
_atom_site_label
_atom_site_fract_x
_atom_site_fract_y
_atom_site_fract_z
Se1 0.000 0.000 0.000
Cl1 0.000 0.000 0.500
Cl2 0.201 0.000 0.826
```



(4)
The following is a PBE-GGA calculation of a relaxed SeCl crystal, from the Alexandria database.

Properties
* formation energy (no corrections): -0.073 eV per atom
* total moment: 0.000 μB per cell

CIF file:
```
data_SeCl
_chemical_formula_sum 'Se6 Cl6'
_symmetry_space_group_name_H-M 'C 1 m 1'
_symmetry_Int_Tables_number 8
_cell_length_a 15.972
_cell_length_b 4.449
_cell_length_c 5.766
_cell_angle_alpha 90.00
_cell_angle_beta 92.71
_cell_angle_gamma 90.00
loop_
_symmetry_equiv_pos_as_xyz
'x,y,z'
'x,-y,z'
'x+1/2,y+1/2,z'
'x+1/2,-y+1/2,z'
loop_
_atom_site_label
_atom_site_fract_x
_atom_site_fract_y
_atom_site_fract_z
Se1 0.000 0.000 0.000
Se2 0.037 0.500 0.806
Se3 0.374 0.000 0.788
Cl1 0.100 0.000 0.280
Cl2 0.184 0.500 0.875
Cl3 0.344 0.000 0.414
```



(5)
The following is a PBE-GGA calculation of a relaxed Se2Cl13 crystal, from the Alexandria database.

Properties
* formation energy (no corrections): -0.115 eV per atom
* total moment: 0.000 μB per cell

CIF file:
```
data_Se2Cl13
_chemical_formula_sum 'Se2 Cl13'
_symmetry_space_group_name_H-M 'P -1'
_symmetry_Int_Tables_number 2
_cell_length_a 6.990
_cell_length_b 8.644
_cell_length_c 10.096
_cell_angle_alpha 78.95
_cell_angle_beta 88.01
_cell_angle_gamma 68.34
loop_
_symmetry_equiv_pos_as_xyz
'x,y,z'
'-x,-y,-z'
loop_
_atom_site_label
_atom_site_fract_x
_atom_site_fract_y
_atom_site_fract_z
Se1 0.031 0.350 0.259
Cl1 0.000 0.500 0.000
Cl2 0.001 0.882 0.006
Cl3 0.082 0.182 0.461
Cl4 0.238 0.483 0.297
Cl5 0.323 0.539 0.725
Cl6 0.434 0.159 0.768
Cl7 0.479 0.912 0.793
```



(6)
The following is a PBE-GGA calculation of a relaxed SeCl crystal, from the Alexandria database.

Properties
* formation energy (no corrections): 0.009 eV per atom
* total moment: 0.000 μB per cell

CIF file:
```
data_SeCl
_chemical_formula_sum 'Se8 Cl8'
_symmetry_space_group_name_H-M 'I -4 3 m'
_symmetry_Int_Tables_number 217
_symmetry_space_group_name_Hall 'I -4 2 3'
_cell_length_a 9.177
_cell_length_b 9.177
_cell_length_c 9.177
_cell_angle_alpha 90.00
_cell_angle_beta 90.00
_cell_angle_gamma 90.00
loop_
_atom_site_label
_atom_site_fract_x
_atom_site_fract_y
_atom_site_fract_z
Se1 0.100 0.100 0.900
Cl1 0.250 0.250 0.250
```



(7)
The following is a PBE-GGA calculation of a relaxed SeCl crystal, from the Alexandria database.

Properties
* formation energy (no corrections): -0.073 eV per atom
* total moment: 0.000 μB per cell

CIF file:
```
data_SeCl
_chemical_formula_sum 'Se6 Cl6'
_symmetry_space_group_name_H-M 'R -3 m'
_symmetry_Int_Tables_number 166
_symmetry_space_group_name_Hall '-R 3 2"'
_cell_length_a 3.7738
_cell_length_b 3.7738
_cell_length_c 25.5124
_cell_angle_alpha 90.00
_cell_angle_beta 90.00
_cell_angle_gamma 120.00
loop_
_atom_site_label
_atom_site_fract_x
_atom_site_fract_y
_atom_site_fract_z
Se1 0.0000 0.0000 0.1372
Cl1 0.0000 0.0000 0.4024
```



(8)
The following is a PBE-GGA calculation of a relaxed SeCl3 crystal, from the Alexandria database.

Properties
* formation energy (no corrections): -0.165 eV per atom
* total moment: 4.005 μB per cell

CIF file:
```
data_SeCl3
_chemical_formula_sum 'Se4 Cl12'
_symmetry_space_group_name_H-M 'P n m a'
_symmetry_Int_Tables_number 62
_cell_length_a 8.998
_cell_length_b 11.096
_cell_length_c 6.921
_cell_angle_alpha 90.00
_cell_angle_beta 90.00
_cell_angle_gamma 90.00
loop_
_symmetry_equiv_pos_as_xyz
'x,y,z'
'-x,-y,-z'
'-x+1/2,-y,z+1/2'
'x+1/2,y,-z+1/2'
'x+1/2,-y+1/2,-z+1/2'
'-x+1/2,y+1/2,z+1/2'
'-x,y+1/2,-z'
'x,-y+1/2,z'
loop_
_atom_site_label
_atom_site_fract_x
_atom_site_fract_y
_atom_site_fract_z
Se1 0.150 0.250 0.134
Cl1 0.056 0.080 0.269
Cl2 0.195 0.250 0.810
```